Below is a relaxed structure of Ac2Zn4Ga3Pt, with properties calculated at the PBE level.

Cell and atoms, written as POSCAR:
```
Ac2Zn4Ga3Pt
1.0
4.5076 0.0000 0.0000
0.0000 4.5076 0.0000
0.0000 0.0000 10.3349
Ac Zn Ga Pt
2 4 3 1
Direct
0.0000 0.5000 0.2446
0.5000 0.0000 0.7554
0.0000 0.0000 0.5000
0.0000 0.5000 0.8752
0.5000 0.0000 0.1248
0.5000 0.5000 0.5000
0.0000 0.0000 0.0000
0.0000 0.5000 0.6290
0.5000 0.0000 0.3710
0.5000 0.5000 0.0000
```

ΔE_f ... -521 meV per atom